[1]
Density functional theory data (SCAN) for AsHS2Cl at its PBEsol-relaxed geometry.

Geometry as POSCAR:
```
AsHS2Cl
1.0
4.6692 0.0000 0.0000
0.0000 4.6692 0.0000
0.0000 0.0000 4.9825
As H S Cl
1 1 2 1
direct
0.0000 0.0000 0.0000
0.5000 0.5000 0.5000
0.0000 0.5000 0.0000
0.5000 0.0000 0.0000
0.0000 0.0000 0.5000
```

Calculated total energy ... -47.0 eV per formula unit
Space-group type ... No. 123
Theoretical density ... 2.68 Mg/m³
Density of states at the Fermi level ... 4.1 states/eV per cell


[2]
Density functional theory data (SCAN) for K2MgBe at its PBEsol-relaxed geometry.

Geometry as POSCAR:
```
K2MgBe
1.0
3.6793 0.0000 0.0000
0.0000 3.6793 0.0000
0.0000 0.0000 10.2002
K Mg Be
2 1 1
direct
0.0000 0.0000 0.0000
0.5000 0.5000 0.3988
0.0000 0.0000 0.6753
0.5000 0.5000 0.7441
```

Energy of formation ... 483 meV per atom
Distance to the lowest polymorph of the same formula ... 0 kJ/mol of formula units
Space-group type ... No. 99
Theoretical density ... 1.34 Mg/m³
Density of states at the Fermi level ... 1.7 states/eV per cell


[3]
Density functional theory data (SCAN) for SiOsW2 at its PBEsol-relaxed geometry.

Geometry as POSCAR:
```
SiOsW2
1.0
-1.9574 1.9574 3.7873
1.9574 -1.9574 3.7873
1.9574 1.9574 -3.7873
Si Os W
1 1 2
direct
0.0000 0.0000 0.0000
0.2500 0.7500 0.5000
0.5000 0.5000 0.0000
0.7500 0.2500 0.5000
```

Space-group type ... No. 119
Theoretical density ... 16.77 Mg/m³
Density of states at the Fermi level ... 2.8 states/eV per cell
Formation energy from raw total energies ... 0.208 eV per atom